## Ta2BeCu (GGA-PBE)

Data for a relaxed Ta2BeCu crystal.

Geometry as POSCAR:
```
Ta2BeCu
1.0
-5.691 3.262 -6.282
-3.742 2.213 -7.975
-5.767 0.569 -6.994
Be Cu Ta
1 1 2
Cartesian
-7.489 2.978 -10.471
-11.557 4.595 -16.157
-0.095 0.038 -0.133
-3.660 1.455 -5.117
```

Calculated values
crystal system: trigonal
formation energy: 300 meV per atom



## NdGdTh2 (GGA-PBE)

Data for a relaxed NdGdTh2 crystal.

Geometry as POSCAR:
```
NdGdTh2
1.0
-0.426 -1.130 3.353
-3.198 -1.323 -0.852
4.397 -9.029 -2.485
Gd Nd Th
1 1 2
Cartesian
-1.812 -1.227 1.251
0.386 -5.741 0.008
3.314 -6.804 -1.872
1.083 -2.224 -0.612
```

Calculated values
distance to the lowest polymorph of the same formula: 6.8 meV/atom
crystal system: tetragonal
formation energy: 77 meV per atom